VASP calculation (PBE) on PaIrRh2 after structural relaxation.

## Properties
For the relative energy among the computed polymorphs, the calculation gives 410 meV per atom. The formation enthalpy at 0 K comes out at -475.6 meV per atom. As for the crystal system: trigonal. The value obtained for the total energy is -0.321 Ha/atom. Its total magnetic moment is 0.0 μB/f.u.

a = 4.5460 Å, b = 4.5460 Å, c = 11.6598 Å
α = 90.00°, β = 90.00°, γ = 120.00°
Positions (direct):
Pa: 0.0000 0.0000 0.0000
Pa: 0.3333 0.6667 0.6667
Pa: 0.6667 0.3333 0.3333
Ir: 0.0000 0.0000 0.5000
Ir: 0.3333 0.6667 0.1667
Ir: 0.6667 0.3333 0.8333
Rh: 0.0000 0.0000 0.2676
Rh: 0.0000 0.0000 0.7323
Rh: 0.3333 0.6667 0.3990
Rh: 0.3333 0.6667 0.9343
Rh: 0.6667 0.3333 0.0657
Rh: 0.6667 0.3333 0.6010

---

VASP calculation (PBE) on MnC3 after structural relaxation.

## Properties
For the relative energy among the computed polymorphs, the calculation gives 232 meV per atom. The formation enthalpy at 0 K comes out at 941.0 meV per atom. As for the crystal system: orthorhombic. The value obtained for the total energy is -0.304 Ha/atom. Its total magnetic moment is 2.4 μB/f.u.

a = 2.5690 Å, b = 7.5202 Å, c = 2.9370 Å
α = 90.00°, β = 90.00°, γ = 90.00°
Positions (direct):
Mn: 0.0000 0.0000 0.0000
C: 0.0000 0.5000 0.9936
C: 0.5000 0.0000 0.5000
C: 0.5000 0.5000 0.9939

---

VASP calculation (PBE) on ScFeP3 after structural relaxation.

## Properties
For the relative energy among the computed polymorphs, the calculation gives 0 meV per atom. The formation enthalpy at 0 K comes out at 67.6 meV per atom. As for the crystal system: cubic. The value obtained for the total energy is -0.226 Ha/atom. Its total magnetic moment is 2.3 μB/f.u.

a = 4.4354 Å, b = 4.4354 Å, c = 4.4354 Å
α = 90.00°, β = 90.00°, γ = 90.00°
Positions (direct):
Sc: 0.0000 0.0000 0.0000
Fe: 0.5000 0.5000 0.5000
P: 0.0000 0.5000 0.5000
P: 0.5000 0.0000 0.5000
P: 0.5000 0.5000 0.0000

---

VASP calculation (PBE) on NpCdO4 after structural relaxation.

## Properties
As for the crystal system: tetragonal. The value obtained for the total energy is -0.274 Ha/atom. Its total magnetic moment is 1.0 μB/f.u.

a = 6.4675 Å, b = 6.4675 Å, c = 5.6398 Å
α = 90.00°, β = 90.00°, γ = 90.00°
Positions (direct):
Np: 0.0000 0.0000 0.0000
Np: 0.5000 0.5000 0.5000
Cd: 0.0000 0.5000 0.7500
Cd: 0.5000 0.0000 0.2500
O: 0.1383 0.2648 0.9847
O: 0.2352 0.6383 0.5153
O: 0.2648 0.8617 0.0153
O: 0.3617 0.2352 0.4847
O: 0.6383 0.7648 0.4847
O: 0.7352 0.1383 0.0153
O: 0.7648 0.3617 0.5153
O: 0.8617 0.7352 0.9847

---

VASP calculation (PBE) on SrZn12Au6 after structural relaxation.

## Properties
The formation enthalpy at 0 K comes out at -228.6 meV per atom. As for the crystal system: trigonal. The value obtained for the total energy is -0.079 Ha/atom. Its total magnetic moment is 0.0 μB/f.u.

a = 7.3423 Å, b = 7.3423 Å, c = 7.3423 Å
α = 104.31°, β = 104.31°, γ = 104.31°
Positions (direct):
Sr: 0.0000 0.0000 0.0000
Zn: 0.1091 0.5000 0.8909
Zn: 0.1091 0.8909 0.5000
Zn: 0.1384 0.3948 0.3948
Zn: 0.3948 0.1384 0.3948
Zn: 0.3948 0.3948 0.1384
Zn: 0.5000 0.1091 0.8909
Zn: 0.5000 0.8909 0.1091
Zn: 0.6052 0.6052 0.8616
Zn: 0.6052 0.8616 0.6052
Zn: 0.8616 0.6052 0.6052
Zn: 0.8909 0.1091 0.5000
Zn: 0.8909 0.5000 0.1091
Au: 0.2791 0.2791 0.7094
Au: 0.2791 0.7094 0.2791
Au: 0.2906 0.7209 0.7209
Au: 0.7094 0.2791 0.2791
Au: 0.7209 0.2906 0.7209
Au: 0.7209 0.7209 0.2906

---

VASP calculation (PBE) on CrNiAs2 after structural relaxation.

## Properties
For the relative energy among the computed polymorphs, the calculation gives 177 meV per atom. The formation enthalpy at 0 K comes out at 57.4 meV per atom. As for the crystal system: trigonal. The value obtained for the total energy is -0.225 Ha/atom. Its total magnetic moment is 0.3 μB/f.u.

a = 2.9716 Å, b = 2.9716 Å, c = 22.0877 Å
α = 90.00°, β = 90.00°, γ = 120.00°
Positions (direct):
Cr: 0.0000 0.0000 0.0000
Cr: 0.3333 0.6667 0.6667
Cr: 0.6667 0.3333 0.3333
Ni: 0.0000 0.0000 0.5000
Ni: 0.3333 0.6667 0.1667
Ni: 0.6667 0.3333 0.8333
As: 0.0000 0.0000 0.2523
As: 0.0000 0.0000 0.7477
As: 0.3333 0.6667 0.4144
As: 0.3333 0.6667 0.9189
As: 0.6667 0.3333 0.0811
As: 0.6667 0.3333 0.5856

---

VASP calculation (PBE) on RbAcSe after structural relaxation.

## Properties
For the relative energy among the computed polymorphs, the calculation gives 0 meV per atom. As for the crystal system: tetragonal. The value obtained for the total energy is -0.139 Ha/atom. Its total magnetic moment is 0.0 μB/f.u.

a = 4.0627 Å, b = 4.0627 Å, c = 15.7953 Å
α = 90.00°, β = 90.00°, γ = 90.00°
Positions (direct):
Rb: 0.0000 0.0000 0.0000
Rb: 0.5000 0.5000 0.5000
Ac: 0.0000 0.0000 0.2550
Ac: 0.5000 0.5000 0.7550
Se: 0.0000 0.0000 0.6724
Se: 0.5000 0.5000 0.1724

---

VASP calculation (PBE) on TmSi4Ni4 after structural relaxation.

## Properties
As for the crystal system: tetragonal. The value obtained for the total energy is -0.223 Ha/atom. Its total magnetic moment is 0.0 μB/f.u.

a = 5.6122 Å, b = 5.6122 Å, c = 7.7818 Å
α = 90.00°, β = 90.00°, γ = 90.00°
Positions (direct):
Tm: 0.2500 0.7500 0.2500
Tm: 0.7500 0.2500 0.7500
Si: 0.0382 0.2500 0.0675
Si: 0.2500 0.0382 0.5675
Si: 0.2500 0.4618 0.5675
Si: 0.4618 0.2500 0.0675
Si: 0.5382 0.7500 0.9325
Si: 0.7500 0.5382 0.4325
Si: 0.7500 0.9618 0.4325
Si: 0.9618 0.7500 0.9325
Ni: 0.0237 0.2500 0.3619
Ni: 0.2500 0.0237 0.8619
Ni: 0.2500 0.4763 0.8619
Ni: 0.4763 0.2500 0.3619
Ni: 0.5237 0.7500 0.6381
Ni: 0.7500 0.5237 0.1381
Ni: 0.7500 0.9763 0.1381
Ni: 0.9763 0.7500 0.6381

---

VASP calculation (PBE) on TlSbPb after structural relaxation.

## Properties
For the relative energy among the computed polymorphs, the calculation gives 39 meV per atom. As for the crystal system: cubic. The value obtained for the total energy is -0.125 Ha/atom. Its total magnetic moment is 0.0 μB/f.u.

a = 7.5944 Å, b = 7.5944 Å, c = 7.5944 Å
α = 90.00°, β = 90.00°, γ = 90.00°
Positions (direct):
Tl: 0.0000 0.0000 0.0000
Tl: 0.0000 0.5000 0.5000
Tl: 0.5000 0.0000 0.5000
Tl: 0.5000 0.5000 0.0000
Sb: 0.2500 0.2500 0.2500
Sb: 0.2500 0.7500 0.7500
Sb: 0.7500 0.2500 0.7500
Sb: 0.7500 0.7500 0.2500
Pb: 0.0000 0.0000 0.5000
Pb: 0.0000 0.5000 0.0000
Pb: 0.5000 0.0000 0.0000
Pb: 0.5000 0.5000 0.5000

---

VASP calculation (PBE) on Ca2ZnIn after structural relaxation.

## Properties
The formation enthalpy at 0 K comes out at 322.6 meV per atom. As for the crystal system: orthorhombic. The value obtained for the total energy is -0.062 Ha/atom. Its total magnetic moment is 0.0 μB/f.u.

a = 3.6263 Å, b = 6.0434 Å, c = 12.6129 Å
α = 90.00°, β = 90.00°, γ = 90.00°
Positions (direct):
Ca: 0.0000 0.0000 0.2327
Ca: 0.0000 0.0000 0.7673
Ca: 0.5000 0.5000 0.2673
Ca: 0.5000 0.5000 0.7327
Zn: 0.0000 0.0000 0.0000
Zn: 0.5000 0.5000 0.5000
In: 0.0000 0.0000 0.5000
In: 0.5000 0.5000 0.0000

---

VASP calculation (PBE) on Pr3Ge2Pd4 after structural relaxation.

## Properties
The formation enthalpy at 0 K comes out at -836.4 meV per atom. As for the crystal system: monoclinic. The value obtained for the total energy is -0.212 Ha/atom. Its total magnetic moment is 0.0 μB/f.u.

a = 5.8108 Å, b = 5.8108 Å, c = 8.7917 Å
α = 110.20°, β = 110.20°, γ = 45.64°
Positions (direct):
Pr: 0.0000 0.0000 0.0000
Pr: 0.3614 0.3614 0.3089
Pr: 0.6386 0.6386 0.6911
Ge: 0.3446 0.3446 0.6772
Ge: 0.6554 0.6554 0.3228
Pd: 0.1026 0.1026 0.4189
Pd: 0.2825 0.2825 0.9294
Pd: 0.7175 0.7175 0.0706
Pd: 0.8974 0.8974 0.5811

---

VASP calculation (PBE) on In6SbPb12 after structural relaxation.

## Properties
As for the crystal system: trigonal. The value obtained for the total energy is -0.124 Ha/atom. Its total magnetic moment is 0.0 μB/f.u.

a = 8.3702 Å, b = 8.3702 Å, c = 8.3702 Å
α = 88.54°, β = 88.54°, γ = 88.54°
Positions (direct):
In: 0.2255 0.7604 0.6124
In: 0.2396 0.3876 0.7745
In: 0.3876 0.7745 0.2396
In: 0.6124 0.2255 0.7604
In: 0.7604 0.6124 0.2255
In: 0.7745 0.2396 0.3876
Sb: 0.5000 0.5000 0.5000
Pb: 0.0308 0.9352 0.2995
Pb: 0.0648 0.7005 0.9692
Pb: 0.1268 0.4802 0.3367
Pb: 0.2995 0.0308 0.9352
Pb: 0.3367 0.1268 0.4802
Pb: 0.4802 0.3367 0.1268
Pb: 0.5198 0.6633 0.8732
Pb: 0.6633 0.8732 0.5198
Pb: 0.7005 0.9692 0.0648
Pb: 0.8732 0.5198 0.6633
Pb: 0.9352 0.2995 0.0308
Pb: 0.9692 0.0648 0.7005

---

VASP calculation (PBE) on Cd2Rh6N after structural relaxation.

## Properties
As for the crystal system: tetragonal. The value obtained for the total energy is -0.221 Ha/atom. Its total magnetic moment is 0.0 μB/f.u.

a = 5.6994 Å, b = 5.6994 Å, c = 5.6994 Å
α = 119.86°, β = 119.86°, γ = 90.25°
Positions (direct):
Cd: 0.2500 0.7500 0.5000
Cd: 0.7500 0.2500 0.5000
Rh: 0.2432 0.2432 0.0000
Rh: 0.2446 0.2446 0.4892
Rh: 0.2446 0.7554 0.0000
Rh: 0.7554 0.2446 0.0000
Rh: 0.7554 0.7554 0.5108
Rh: 0.7568 0.7568 0.0000
N: 0.5000 0.5000 0.0000

---

VASP calculation (PBE) on LiHo2Er after structural relaxation.

## Properties
For the relative energy among the computed polymorphs, the calculation gives 103 meV per atom. The formation enthalpy at 0 K comes out at 173.8 meV per atom. As for the crystal system: cubic. The value obtained for the total energy is -0.137 Ha/atom. Its total magnetic moment is 0.0 μB/f.u.

a = 7.6785 Å, b = 7.6785 Å, c = 7.6785 Å
α = 90.00°, β = 90.00°, γ = 90.00°
Positions (direct):
Li: 0.0000 0.0000 0.0000
Li: 0.0000 0.5000 0.5000
Li: 0.5000 0.0000 0.5000
Li: 0.5000 0.5000 0.0000
Ho: 0.2500 0.2500 0.2500
Ho: 0.2500 0.2500 0.7500
Ho: 0.2500 0.7500 0.2500
Ho: 0.2500 0.7500 0.7500
Ho: 0.7500 0.2500 0.2500
Ho: 0.7500 0.2500 0.7500
Ho: 0.7500 0.7500 0.2500
Ho: 0.7500 0.7500 0.7500
Er: 0.0000 0.0000 0.5000
Er: 0.0000 0.5000 0.0000
Er: 0.5000 0.0000 0.0000
Er: 0.5000 0.5000 0.5000

---

VASP calculation (PBE) on CsCr2Ag after structural relaxation.

## Properties
The formation enthalpy at 0 K comes out at 1374.4 meV per atom. As for the crystal system: cubic. The value obtained for the total energy is -0.160 Ha/atom. Its total magnetic moment is 9.7 μB/f.u.

a = 7.6130 Å, b = 7.6130 Å, c = 7.6130 Å
α = 90.00°, β = 90.00°, γ = 90.00°
Positions (direct):
Cs: 0.0000 0.0000 0.0000
Cs: 0.0000 0.5000 0.5000
Cs: 0.5000 0.0000 0.5000
Cs: 0.5000 0.5000 0.0000
Cr: 0.2500 0.2500 0.2500
Cr: 0.2500 0.2500 0.7500
Cr: 0.2500 0.7500 0.2500
Cr: 0.2500 0.7500 0.7500
Cr: 0.7500 0.2500 0.2500
Cr: 0.7500 0.2500 0.7500
Cr: 0.7500 0.7500 0.2500
Cr: 0.7500 0.7500 0.7500
Ag: 0.0000 0.0000 0.5000
Ag: 0.0000 0.5000 0.0000
Ag: 0.5000 0.0000 0.0000
Ag: 0.5000 0.5000 0.5000

---

VASP calculation (PBE) on CsPPdF2 after structural relaxation.

## Properties
As for the crystal system: tetragonal. The value obtained for the total energy is -0.119 Ha/atom. Its total magnetic moment is 1.4 μB/f.u.

a = 4.1953 Å, b = 4.1953 Å, c = 6.1961 Å
α = 90.00°, β = 90.00°, γ = 90.00°
Positions (direct):
Cs: 0.0000 0.0000 0.0000
P: 0.5000 0.5000 0.0000
Pd: 0.0000 0.0000 0.5000
F: 0.0000 0.5000 0.5000
F: 0.5000 0.0000 0.5000

---

VASP calculation (PBE) on CsB5O8 after structural relaxation.

## Properties
For the relative energy among the computed polymorphs, the calculation gives 22 meV per atom. As for the crystal system: orthorhombic. The value obtained for the total energy is -0.283 Ha/atom. Its total magnetic moment is 0.0 μB/f.u.

a = 8.2598 Å, b = 9.7128 Å, c = 8.4506 Å
α = 90.00°, β = 90.00°, γ = 90.00°
Positions (direct):
Cs: 0.0254 0.2500 0.2041
Cs: 0.4746 0.7500 0.7041
Cs: 0.5254 0.2500 0.2959
Cs: 0.9746 0.7500 0.7959
B: 0.0872 0.7500 0.3813
B: 0.2226 0.1372 0.6569
B: 0.2226 0.3628 0.6569
B: 0.2395 0.5284 0.4188
B: 0.2395 0.9716 0.4188
B: 0.2605 0.0284 0.9188
B: 0.2605 0.4716 0.9188
B: 0.2774 0.6372 0.1569
B: 0.2774 0.8628 0.1569
B: 0.4128 0.2500 0.8813
B: 0.5873 0.7500 0.1187
B: 0.7226 0.1372 0.8431
B: 0.7226 0.3628 0.8431
B: 0.7395 0.5284 0.0812
B: 0.7395 0.9716 0.0812
B: 0.7605 0.0284 0.5812
B: 0.7605 0.4716 0.5812
B: 0.7774 0.6372 0.3431
B: 0.7774 0.8628 0.3431
B: 0.9128 0.2500 0.6187
O: 0.0939 0.2500 0.6321
O: 0.1338 0.6276 0.4690
O: 0.1338 0.8724 0.4690
O: 0.1585 0.7500 0.2156
O: 0.1860 0.0353 0.7724
O: 0.1860 0.4647 0.7724
O: 0.2214 0.5849 0.0079
O: 0.2214 0.9151 0.0079
O: 0.2786 0.0849 0.5079
O: 0.2786 0.4151 0.5079
O: 0.3140 0.5353 0.2724
O: 0.3140 0.9647 0.2724
O: 0.3415 0.2500 0.7156
O: 0.3662 0.1276 0.9690
O: 0.3662 0.3724 0.9690
O: 0.4061 0.7500 0.1321
O: 0.5939 0.2500 0.8679
O: 0.6338 0.6276 0.0310
O: 0.6338 0.8724 0.0310
O: 0.6585 0.7500 0.2844
O: 0.6860 0.0353 0.7276
O: 0.6860 0.4647 0.7276
O: 0.7214 0.5849 0.4921
O: 0.7214 0.9151 0.4921
O: 0.7786 0.0849 0.9921
O: 0.7786 0.4151 0.9921
O: 0.8140 0.5353 0.2276
O: 0.8140 0.9647 0.2276
O: 0.8415 0.2500 0.7844
O: 0.8662 0.1276 0.5310
O: 0.8662 0.3724 0.5310
O: 0.9061 0.7500 0.3679

---

VASP calculation (PBE) on SrGdCd2 after structural relaxation.

## Properties
The formation enthalpy at 0 K comes out at -327.9 meV per atom. As for the crystal system: tetragonal. The value obtained for the total energy is -0.174 Ha/atom. Its total magnetic moment is 7.4 μB/f.u.

a = 3.9034 Å, b = 3.9034 Å, c = 7.8533 Å
α = 90.00°, β = 90.00°, γ = 90.00°
Positions (direct):
Sr: 0.0000 0.0000 0.0000
Gd: 0.0000 0.0000 0.5000
Cd: 0.5000 0.5000 0.2787
Cd: 0.5000 0.5000 0.7213

---

VASP calculation (PBE) on CaSiC3 after structural relaxation.

## Properties
For the relative energy among the computed polymorphs, the calculation gives 2205 meV per atom. As for the crystal system: cubic. The value obtained for the total energy is -0.131 Ha/atom. Its total magnetic moment is 0.0 μB/f.u.

a = 4.4146 Å, b = 4.4146 Å, c = 4.4146 Å
α = 90.00°, β = 90.00°, γ = 90.00°
Positions (direct):
Ca: 0.0000 0.0000 0.0000
Si: 0.5000 0.5000 0.5000
C: 0.0000 0.0000 0.5000
C: 0.0000 0.5000 0.0000
C: 0.5000 0.0000 0.0000

---

VASP calculation (PBE) on RbHfSe4 after structural relaxation.

## Properties
As for the crystal system: monoclinic. The value obtained for the total energy is -0.185 Ha/atom. Its total magnetic moment is 0.0 μB/f.u.

a = 8.4263 Å, b = 8.4263 Å, c = 6.8115 Å
α = 101.04°, β = 101.04°, γ = 122.57°
Positions (direct):
Rb: 0.1459 0.8541 0.7500
Rb: 0.8541 0.1459 0.2500
Hf: 0.4999 0.5001 0.2500
Hf: 0.5001 0.4999 0.7500
Se: 0.1604 0.3134 0.8729
Se: 0.3049 0.5873 0.4743
Se: 0.3134 0.1604 0.3729
Se: 0.4127 0.6951 0.0257
Se: 0.5873 0.3049 0.9743
Se: 0.6866 0.8396 0.6271
Se: 0.6951 0.4127 0.5257
Se: 0.8396 0.6866 0.1271